Record 1
The following is a PBE calculation of a geometry-optimized CrCuAg2 structure, from Alexandria.

Summary:
- calculated density (g/cm3) = 8.59
- energy above the most stable polymorph in this dataset (meV/atom) = 0
- crystal system = tetragonal
- calculated total energy (eV/f.u.) = -18.2
- formation energy from the elements (eV per formula unit) = 1.249

abc: 3.142 3.142 6.487
angles: 90.00 90.00 90.00
Space group P4mm (No. 99)
Inequivalent atoms, fractional coordinates:
Cr 0.000 0.000 0.000 (multiplicity 1)
Cu 0.500 0.500 0.212 (multiplicity 1)
Ag 0.000 0.000 0.452 (multiplicity 1)
Ag 0.500 0.500 0.737 (multiplicity 1)

=====

Record 2
The following is a PBE calculation of a geometry-optimized CrCuAg2 structure, from Alexandria.

Summary:
- calculated density (g/cm3) = 8.52
- energy above the most stable polymorph in this dataset (meV/atom) = 31
- crystal system = monoclinic
- calculated total energy (eV/f.u.) = -18.0
- formation energy from the elements (eV per formula unit) = 1.374

abc: 2.969 3.794 5.733
angles: 90.00 90.52 90.00
Space group P2/m (No. 10)
Inequivalent atoms, fractional coordinates:
Cr 0.000 0.000 0.000 (multiplicity 1)
Cu 0.000 0.000 0.500 (multiplicity 1)
Ag 0.498 0.500 0.743 (multiplicity 2)